This record from Alexandria describes a geometry-optimized VCrTe2 structure. The functional is GGA-PBE.

Structure (POSCAR):
```
VCrTe2
1.0
3.572 0.000 0.000
-1.786 3.093 0.000
0.000 0.000 26.590
V Cr Te
3 3 6
Direct
0.000 0.000 0.000
0.333 0.667 0.667
0.667 0.333 0.333
0.000 0.000 0.500
0.333 0.667 0.167
0.667 0.333 0.833
0.000 0.000 0.398
0.000 0.000 0.602
0.333 0.667 0.065
0.333 0.667 0.269
0.667 0.333 0.731
0.667 0.333 0.935
```

SG: R-3m, No. 166
ΔE to the lowest computed polymorph (meV per atom): 152

=====

This record from Alexandria describes a geometry-optimized CrTe2W structure. The functional is GGA-PBE.

Structure (POSCAR):
```
CrTe2W
1.0
6.885 0.000 0.000
0.000 6.885 0.000
0.000 0.000 6.885
Cr Te W
4 8 4
Direct
0.000 0.000 0.000
0.000 0.500 0.500
0.500 0.000 0.500
0.500 0.500 0.000
0.000 0.000 0.500
0.000 0.500 0.000
0.250 0.250 0.250
0.250 0.750 0.750
0.500 0.000 0.000
0.500 0.500 0.500
0.750 0.250 0.750
0.750 0.750 0.250
0.250 0.250 0.750
0.250 0.750 0.250
0.750 0.250 0.250
0.750 0.750 0.750
```

SG: F-43m, No. 216
ΔE to the lowest computed polymorph (meV per atom): 970

=====

This record from Alexandria describes a geometry-optimized CrTe2W structure. The functional is GGA-PBE.

Structure (POSCAR):
```
CrTe2W
1.0
3.114 0.000 0.000
0.000 4.437 0.000
-0.027 0.000 6.205
Cr Te W
1 2 1
Direct
0.000 0.000 0.000
0.291 0.500 0.254
0.709 0.500 0.746
0.500 0.000 0.500
```

SG: P2/m, No. 10
ΔE to the lowest computed polymorph (meV per atom): 813

=====

This record from Alexandria describes a geometry-optimized CrTe2W structure. The functional is GGA-PBE.

Structure (POSCAR):
```
CrTe2W
1.0
8.404 0.000 0.000
0.000 3.395 0.000
-1.161 0.000 7.157
Cr Te W
2 4 2
Direct
0.000 0.000 0.000
0.500 0.500 0.000
0.253 0.000 0.794
0.464 0.000 0.292
0.753 0.500 0.794
0.964 0.500 0.292
0.218 0.500 0.087
0.718 0.000 0.087
```

SG: Cm, No. 8
ΔE to the lowest computed polymorph (meV per atom): 175

=====

This record from Alexandria describes a geometry-optimized CrTe2W structure. The functional is GGA-PBE.

Structure (POSCAR):
```
CrTe2W
1.0
3.500 0.000 0.000
-1.750 3.031 0.000
0.000 0.000 24.520
Cr Te W
3 6 3
Direct
0.000 0.000 0.000
0.333 0.667 0.667
0.667 0.333 0.333
0.000 0.000 0.245
0.000 0.000 0.755
0.333 0.667 0.422
0.333 0.667 0.912
0.667 0.333 0.088
0.667 0.333 0.578
0.000 0.000 0.500
0.333 0.667 0.167
0.667 0.333 0.833
```

SG: R-3m, No. 166
ΔE to the lowest computed polymorph (meV per atom): 474

=====

This record from Alexandria describes a geometry-optimized Cr3TeW structure. The functional is GGA-PBE.

Structure (POSCAR):
```
Cr3TeW
1.0
4.917 0.000 0.000
0.000 4.917 0.000
0.000 0.000 4.917
Cr Te W
3 1 1
Direct
0.000 0.000 0.500
0.000 0.500 0.000
0.500 0.000 0.000
0.000 0.000 0.000
0.500 0.500 0.500
```

SG: Pm-3m, No. 221
ΔE to the lowest computed polymorph (meV per atom): 548

=====

This record from Alexandria describes a geometry-optimized Cr4TeW structure. The functional is GGA-PBE.

Structure (POSCAR):
```
Cr4TeW
1.0
0.000 3.453 3.453
3.453 0.000 3.453
3.453 3.453 0.000
Cr Te W
4 1 1
Direct
0.124 0.124 0.124
0.124 0.124 0.628
0.124 0.628 0.124
0.628 0.124 0.124
0.750 0.750 0.750
0.500 0.500 0.500
```

SG: F-43m, No. 216

=====

This record from Alexandria describes a geometry-optimized CrTe3W structure. The functional is GGA-PBE.

Structure (POSCAR):
```
CrTe3W
1.0
5.112 0.000 0.000
0.000 5.112 0.000
0.000 0.000 5.112
Cr Te W
1 3 1
Direct
0.000 0.000 0.000
0.000 0.000 0.500
0.000 0.500 0.000
0.500 0.000 0.000
0.500 0.500 0.500
```

SG: Pm-3m, No. 221
ΔE to the lowest computed polymorph (meV per atom): 0

=====

This record from Alexandria describes a geometry-optimized CrTe2W structure. The functional is GGA-PBE.

Structure (POSCAR):
```
CrTe2W
1.0
6.589 0.000 0.000
0.000 6.589 0.000
0.000 0.000 6.589
Cr Te W
4 8 4
Direct
0.000 0.000 0.000
0.000 0.500 0.500
0.500 0.000 0.500
0.500 0.500 0.000
0.250 0.250 0.250
0.250 0.250 0.750
0.250 0.750 0.250
0.250 0.750 0.750
0.750 0.250 0.250
0.750 0.250 0.750
0.750 0.750 0.250
0.750 0.750 0.750
0.000 0.000 0.500
0.000 0.500 0.000
0.500 0.000 0.000
0.500 0.500 0.500
```

SG: Fm-3m, No. 225
ΔE to the lowest computed polymorph (meV per atom): 536

=====

This record from Alexandria describes a geometry-optimized CrTe2W structure. The functional is GGA-PBE.

Structure (POSCAR):
```
CrTe2W
1.0
3.766 0.000 0.000
0.000 3.766 0.000
0.000 0.000 7.247
Cr Te W
1 2 1
Direct
0.000 0.000 0.000
0.000 0.500 0.731
0.500 0.000 0.269
0.500 0.500 0.000
```

SG: P-4m2, No. 115
ΔE to the lowest computed polymorph (meV per atom): 0

=====

This record from Alexandria describes a geometry-optimized CrTe2W structure. The functional is GGA-PBE.

Structure (POSCAR):
```
CrTe2W
1.0
3.278 0.000 0.000
-1.639 2.838 0.000
0.000 0.000 30.554
Cr Te W
3 6 3
Direct
0.000 0.000 0.000
0.333 0.667 0.667
0.667 0.333 0.333
0.000 0.000 0.270
0.000 0.000 0.461
0.333 0.667 0.128
0.333 0.667 0.937
0.667 0.333 0.603
0.667 0.333 0.795
0.000 0.000 0.730
0.333 0.667 0.397
0.667 0.333 0.064
```

SG: R3m, No. 160
ΔE to the lowest computed polymorph (meV per atom): 242

=====

This record from Alexandria describes a geometry-optimized CrTe2W structure. The functional is GGA-PBE.

Structure (POSCAR):
```
CrTe2W
1.0
3.488 0.000 0.000
-1.744 3.020 0.000
0.000 0.000 27.659
Cr Te W
3 6 3
Direct
0.000 0.000 0.000
0.333 0.667 0.667
0.667 0.333 0.333
0.000 0.000 0.099
0.000 0.000 0.901
0.333 0.667 0.568
0.333 0.667 0.766
0.667 0.333 0.234
0.667 0.333 0.432
0.000 0.000 0.500
0.333 0.667 0.167
0.667 0.333 0.833
```

SG: R-3m, No. 166
ΔE to the lowest computed polymorph (meV per atom): 507

=====

This record from Alexandria describes a geometry-optimized CrTe2W structure. The functional is GGA-PBE.

Structure (POSCAR):
```
CrTe2W
1.0
3.225 0.000 0.000
0.000 3.225 0.000
0.000 0.000 8.055
Cr Te W
1 2 1
Direct
0.000 0.000 0.000
0.000 0.000 0.604
0.500 0.500 0.181
0.500 0.500 0.811
```

SG: P4mm, No. 99
ΔE to the lowest computed polymorph (meV per atom): 196

=====

This record from Alexandria describes a geometry-optimized CrTe3W structure. The functional is GGA-PBE.

Structure (POSCAR):
```
CrTe3W
1.0
5.234 0.000 0.000
0.000 5.234 0.000
0.000 0.000 5.234
Cr Te W
1 3 1
Direct
0.000 0.000 0.000
0.000 0.500 0.500
0.500 0.000 0.500
0.500 0.500 0.000
0.500 0.500 0.500
```

SG: Pm-3m, No. 221
ΔE to the lowest computed polymorph (meV per atom): 253

=====

This record from Alexandria describes a geometry-optimized CrTe2W structure. The functional is GGA-PBE.

Structure (POSCAR):
```
CrTe2W
1.0
8.403 0.000 0.000
0.000 3.483 0.000
-1.046 0.000 5.787
Cr Te W
2 4 2
Direct
0.000 0.000 0.000
0.500 0.500 0.000
0.231 0.000 0.733
0.269 0.500 0.267
0.731 0.500 0.733
0.769 0.000 0.267
0.000 0.500 0.500
0.500 0.000 0.500
```

SG: C2/m, No. 12
ΔE to the lowest computed polymorph (meV per atom): 465

=====

This record from Alexandria describes a geometry-optimized CrTe2W structure. The functional is GGA-PBE.

Structure (POSCAR):
```
CrTe2W
1.0
4.028 0.000 0.000
0.000 4.028 0.000
0.000 0.000 10.050
Cr Te W
2 4 2
Direct
0.000 0.000 0.000
0.500 0.500 0.500
0.000 0.000 0.500
0.000 0.500 0.750
0.500 0.000 0.250
0.500 0.500 0.000
0.000 0.500 0.250
0.500 0.000 0.750
```

SG: I-4m2, No. 119
ΔE to the lowest computed polymorph (meV per atom): 763

=====

This record from Alexandria describes a geometry-optimized CrTe2W structure. The functional is GGA-PBE.

Structure (POSCAR):
```
CrTe2W
1.0
4.747 0.000 0.000
0.000 4.747 0.000
0.000 0.000 3.378
Cr Te W
1 2 1
Direct
0.000 0.000 0.000
0.000 0.500 0.500
0.500 0.000 0.500
0.500 0.500 0.000
```

SG: P4/mmm, No. 123
ΔE to the lowest computed polymorph (meV per atom): 479

=====

This record from Alexandria describes a geometry-optimized CrTe2W structure. The functional is GGA-PBE.

Structure (POSCAR):
```
CrTe2W
1.0
3.395 0.000 0.000
0.000 3.395 0.000
0.000 0.000 6.883
Cr Te W
1 2 1
Direct
0.000 0.000 0.000
0.500 0.500 0.260
0.500 0.500 0.740
0.000 0.000 0.500
```

SG: P4/mmm, No. 123
ΔE to the lowest computed polymorph (meV per atom): 439

=====

This record from Alexandria describes a geometry-optimized CrTeW4 structure. The functional is GGA-PBE.

Structure (POSCAR):
```
CrTeW4
1.0
0.000 3.781 3.781
3.781 0.000 3.781
3.781 3.781 0.000
Cr Te W
1 1 4
Direct
0.000 0.000 0.000
0.750 0.750 0.750
0.374 0.374 0.374
0.374 0.374 0.877
0.374 0.877 0.374
0.877 0.374 0.374
```

SG: F-43m, No. 216

=====

This record from Alexandria describes a geometry-optimized CrTe2W structure. The functional is GGA-PBE.

Structure (POSCAR):
```
CrTe2W
1.0
6.303 0.000 0.000
0.000 6.303 0.000
0.000 0.000 11.927
Cr Te W
4 8 4
Direct
0.000 0.000 0.000
0.000 0.500 0.250
0.500 0.000 0.750
0.500 0.500 0.500
0.240 0.250 0.625
0.250 0.740 0.875
0.250 0.760 0.375
0.260 0.250 0.125
0.740 0.750 0.125
0.750 0.240 0.375
0.750 0.260 0.875
0.760 0.750 0.625
0.000 0.000 0.500
0.000 0.500 0.750
0.500 0.000 0.250
0.500 0.500 0.000
```

SG: I-42d, No. 122
ΔE to the lowest computed polymorph (meV per atom): 677

=====

This record from Alexandria describes a geometry-optimized Cr3TeW structure. The functional is GGA-PBE.

Structure (POSCAR):
```
Cr3TeW
1.0
4.780 0.000 0.000
0.000 4.780 0.000
0.000 0.000 4.780
Cr Te W
3 1 1
Direct
0.000 0.000 0.500
0.000 0.500 0.000
0.500 0.000 0.000
0.500 0.500 0.500
0.000 0.000 0.000
```

SG: Pm-3m, No. 221
ΔE to the lowest computed polymorph (meV per atom): 0

=====

This record from Alexandria describes a geometry-optimized CrTe2W structure. The functional is GGA-PBE.

Structure (POSCAR):
```
CrTe2W
1.0
3.236 0.000 0.000
0.000 4.795 0.000
0.000 0.000 10.410
Cr Te W
2 4 2
Direct
0.000 0.000 0.000
0.500 0.500 0.500
0.000 0.000 0.540
0.000 0.500 0.744
0.500 0.000 0.244
0.500 0.500 0.040
0.000 0.500 0.273
0.500 0.000 0.773
```

SG: Imm2, No. 44
ΔE to the lowest computed polymorph (meV per atom): 608

=====

This record from Alexandria describes a geometry-optimized YCrTe2 structure. The functional is GGA-PBE.

Structure (POSCAR):
```
YCrTe2
1.0
3.929 0.000 0.000
0.000 3.813 0.000
-1.861 0.000 7.241
Y Cr Te
1 1 2
Direct
0.000 0.000 0.000
0.500 0.000 0.500
0.408 0.500 0.754
0.592 0.500 0.246
```

SG: P2/m, No. 10
ΔE to the lowest computed polymorph (meV per atom): 173

=====

This record from Alexandria describes a geometry-optimized YCrTe2 structure. The functional is GGA-PBE.

Structure (POSCAR):
```
YCrTe2
1.0
4.259 0.000 0.000
0.000 4.259 0.000
0.000 0.000 11.555
Y Cr Te
2 2 4
Direct
0.000 0.000 0.000
0.500 0.500 0.500
0.000 0.500 0.750
0.500 0.000 0.250
0.000 0.000 0.500
0.000 0.500 0.250
0.500 0.000 0.750
0.500 0.500 0.000
```

SG: I-4m2, No. 119
ΔE to the lowest computed polymorph (meV per atom): 286

=====

This record from Alexandria describes a geometry-optimized Y2Cr2Te structure. The functional is GGA-PBE.

Structure (POSCAR):
```
Y2Cr2Te
1.0
7.271 0.000 0.000
0.000 7.271 0.000
0.000 0.000 4.152
Y Cr Te
4 4 2
Direct
0.184 0.316 0.000
0.316 0.816 0.000
0.684 0.184 0.000
0.816 0.684 0.000
0.093 0.593 0.500
0.407 0.093 0.500
0.593 0.907 0.500
0.907 0.407 0.500
0.000 0.000 0.500
0.500 0.500 0.500
```

SG: P4/mbm, No. 127
ΔE to the lowest computed polymorph (meV per atom): 0

=====

This record from Alexandria describes a geometry-optimized YCr2Te structure. The functional is GGA-PBE.

Structure (POSCAR):
```
YCr2Te
1.0
3.872 0.000 0.000
0.000 3.872 0.000
0.000 0.000 6.113
Y Cr Te
1 2 1
Direct
0.000 0.000 0.000
0.500 0.500 0.256
0.500 0.500 0.744
0.000 0.000 0.500
```

SG: P4/mmm, No. 123
ΔE to the lowest computed polymorph (meV per atom): 333

=====

This record from Alexandria describes a geometry-optimized YCr2Te structure. The functional is GGA-PBE.

Structure (POSCAR):
```
YCr2Te
1.0
4.216 0.000 0.000
0.000 4.216 0.000
0.000 0.000 9.506
Y Cr Te
2 4 2
Direct
0.000 0.000 0.000
0.500 0.500 0.500
0.000 0.000 0.500
0.000 0.500 0.750
0.500 0.000 0.250
0.500 0.500 0.000
0.000 0.500 0.250
0.500 0.000 0.750
```

SG: I-4m2, No. 119
ΔE to the lowest computed polymorph (meV per atom): 344

=====

This record from Alexandria describes a geometry-optimized YCr2Te structure. The functional is GGA-PBE.

Structure (POSCAR):
```
YCr2Te
1.0
3.588 0.000 0.000
-1.794 3.107 0.000
0.000 0.000 25.913
Y Cr Te
3 6 3
Direct
0.000 0.000 0.000
0.333 0.667 0.667
0.667 0.333 0.333
0.000 0.000 0.239
0.000 0.000 0.761
0.333 0.667 0.428
0.333 0.667 0.906
0.667 0.333 0.094
0.667 0.333 0.572
0.000 0.000 0.500
0.333 0.667 0.167
0.667 0.333 0.833
```

SG: R-3m, No. 166
ΔE to the lowest computed polymorph (meV per atom): 608

=====

This record from Alexandria describes a geometry-optimized Y2CrTe structure. The functional is GGA-PBE.

Structure (POSCAR):
```
Y2CrTe
1.0
4.351 0.000 0.000
0.000 4.351 0.000
0.000 0.000 10.790
Y Cr Te
4 2 2
Direct
0.000 0.000 0.000
0.000 0.500 0.250
0.500 0.000 0.750
0.500 0.500 0.500
0.000 0.500 0.750
0.500 0.000 0.250
0.000 0.000 0.500
0.500 0.500 0.000
```

SG: I-4m2, No. 119
ΔE to the lowest computed polymorph (meV per atom): 226

=====

This record from Alexandria describes a geometry-optimized Y2CrTe structure. The functional is GGA-PBE.

Structure (POSCAR):
```
Y2CrTe
1.0
7.204 0.000 0.000
0.000 7.204 0.000
0.000 0.000 7.204
Y Cr Te
8 4 4
Direct
0.250 0.250 0.250
0.250 0.250 0.750
0.250 0.750 0.250
0.250 0.750 0.750
0.750 0.250 0.250
0.750 0.250 0.750
0.750 0.750 0.250
0.750 0.750 0.750
0.000 0.000 0.000
0.000 0.500 0.500
0.500 0.000 0.500
0.500 0.500 0.000
0.000 0.000 0.500
0.000 0.500 0.000
0.500 0.000 0.000
0.500 0.500 0.500
```

SG: Fm-3m, No. 225
ΔE to the lowest computed polymorph (meV per atom): 552

=====

Calculated uncorrected formation energy (eV per atom), listed in the same order as above: 0.246 1.084 0.926 0.289 0.587 1.895 0.395 1.247 0.650 0.114 0.355 0.620 0.309 1.501 0.579 0.876 0.592 0.553 0.825 0.790 1.346 0.722 -0.534 -0.421 -0.024 0.246 0.258 0.522 -0.216 0.110
Calculated raw total energy (eV per atom), listed in the same order as above: -6.0108 -6.1310 -6.2886 -6.9262 -6.6279 -7.0983 -8.7035 -5.1530 -6.5651 -7.1015 -6.8597 -6.5946 -6.9059 -4.8995 -6.6361 -6.3389 -6.6229 -6.6622 -9.9379 -6.4247 -7.6465 -6.4932 -6.1264 -6.0134 -7.0876 -6.9669 -6.9550 -6.6915 -6.6397 -6.3134